Here is an optimized crystal structure of LiVBO4 from Alexandria via LeMat-Bulk. Energies are from PBE with a Hubbard U.

Geometry as POSCAR:
```
LiVBO4
1.0
9.1245 0.0000 0.0000
0.0000 3.1145 0.0000
0.0000 0.0000 9.4087
Li V B O
4 4 4 16
direct
0.1244 0.2500 0.0654
0.3756 0.7500 0.5654
0.6244 0.2500 0.4346
0.8756 0.7500 0.9346
0.1083 0.2500 0.7123
0.3917 0.7500 0.2123
0.6083 0.2500 0.7877
0.8917 0.7500 0.2877
0.1620 0.2500 0.3870
0.3380 0.7500 0.8870
0.6620 0.2500 0.1130
0.8380 0.7500 0.6130
0.0094 0.2500 0.3661
0.0233 0.2500 0.8715
0.2214 0.2500 0.5179
0.2485 0.2500 0.2616
0.2515 0.7500 0.7616
0.2786 0.7500 0.0179
0.4767 0.7500 0.3715
0.4906 0.7500 0.8661
0.5094 0.2500 0.1339
0.5233 0.2500 0.6285
0.7214 0.2500 0.9821
0.7485 0.2500 0.2384
0.7515 0.7500 0.7384
0.7786 0.7500 0.4821
0.9767 0.7500 0.1285
0.9906 0.7500 0.6339
```

Calculated values
Its symmetry is Pnma, No. 62. As for the total moment: 1.0 μB/f.u. For the relative energy among the computed polymorphs, the calculation gives 0.00 eV/f.u. For the energy, the calculation gives -7.319 eV/atom.